# 1
Compound: HgW
Source: Alexandria via LeMat-Bulk
Functional: PBE
Structure: relaxed

The structure in POSCAR format:
```
HgW
1.0
2.9103 -0.0057 0.0000
-1.1483 2.6742 0.0000
0.0000 0.0000 9.9732
W Hg
2 2
Cartesian
0.8810 1.3343 2.7348
0.0000 0.0000 4.7451
0.8810 1.3343 7.2972
0.0000 0.0000 0.1827
```

Results
The crystal system is orthorhombic. The space group is No. 67. The formation energy is 0.5141 eV/atom.

# 2
Compound: Sm2Tm3Al2
Source: Alexandria via LeMat-Bulk
Functional: PBE
Structure: relaxed

The structure in POSCAR format:
```
Sm2Tm3Al2
1.0
5.2808 -0.0005 0.0017
-2.6410 4.5585 -0.2902
0.0028 -2.5526 8.0083
Al Sm Tm
2 2 3
Cartesian
2.6418 0.4084 6.5699
0.0010 1.5970 1.1499
0.0012 -1.1521 5.9888
2.6415 3.1574 1.7310
0.0010 1.7841 4.1713
2.6404 -0.0003 0.0009
2.6417 0.2213 3.5486
```

Results
The crystal system is monoclinic. The space group is No. 12. The formation energy is -0.1983 eV/atom.